First-principles (PBE) data for CePaNi after structural relaxation, as listed in Alexandria via LeMat-Bulk.

Calculated values
For the calculated formation energy, the calculation gives -0.043 eV/atom. As for the energy above the most stable polymorph in this dataset: 67.1 meV/atom. As for the space-group type: P3m1 (156).

Unit cell a=3.7630 b=4.4359 c=4.4359 alpha=120.00 beta=90.00 gamma=90.00
Last column: nearest neighbours and their distance in Å.
Sites, in units of the cell vectors:
Ni: 0.2592 0.3333 0.6667  3 Pa 2.68
Pa: 0.0481 0.0000 0.0000  3 Ni 2.68, 3 Ce 2.89
Ce: 0.6926 0.6667 0.3333  3 Pa 2.89, 3 Ni 3.04